The following is a GGA-PBE calculation of a relaxed CaGaSnPd crystal, from the Alexandria database.

Cell lengths 4.4218, 4.4218, 16.4103 Å; angles 90.00, 90.00, 120.00 degrees
Space group R3m (No. 160, hexagonal axes)
Symmetry-distinct sites (fractional):
Ca  0.0000  0.0000  0.0000 x3
Ga  0.0000  0.0000  0.5569 x3
Sn  0.0000  0.0000  0.7922 x3
Pd  0.0000  0.0000  0.1963 x3

Output
Magnetization: 0.00 Bohr magnetons per cell
Energy of formation from the pure elements: -0.632 eV per atom
Theoretical density: 6.00 g cm⁻³
Excess energy over the best structure of this formula in the dataset: 0.000 eV/atom
Calculated volume: 277.87 Å³ per cell